one) # GePtOF2

A relaxed GePtOF2 crystal (PBE, Alexandria).

Lattice parameters (Å, degrees): 4.3709 4.3709 3.9611 90.00 90.00 90.00
Last column: nearest neighbours and their distance in Å.
Space group P4/mmm (No. 123)
Inequivalent atoms, fractional coordinates:
Ge1 0.0000 0.0000 0.0000 x1  8 F 2.95, 4 O 3.09
Pt1 0.5000 0.5000 0.5000 x1  2 O 1.98, 4 F 2.19
O1 0.5000 0.5000 0.0000 x1  2 Pt 1.98
F1 0.0000 0.5000 0.5000 x2  2 Pt 2.19

Computed properties:
Magnetic moment, Bohr magnetons per cell: 0.000
Theoretical density, kg/m³: 7059

two) # GePtOF2

A relaxed GePtOF2 crystal (PBE, Alexandria).

Lattice parameters (Å, degrees): 4.1805 4.1805 3.7728 90.00 90.00 90.00
Last column: nearest neighbours and their distance in Å.
Space group P4/mmm (No. 123)
Inequivalent atoms, fractional coordinates:
Ge1 0.0000 0.0000 0.0000 x1  2 O 1.89, 4 F 2.09
Pt1 0.5000 0.5000 0.5000 x1  8 F 2.82, 4 O 2.96
O1 0.0000 0.0000 0.5000 x1  2 Ge 1.89
F1 0.0000 0.5000 0.0000 x2  2 Ge 2.09

Computed properties:
Magnetic moment, Bohr magnetons per cell: 0.681
Theoretical density, kg/m³: 8102

Most stable to least stable, the ends of the list are two) and one).

one) # ScGeOF2

A relaxed ScGeOF2 crystal (PBE, Alexandria).

Lattice parameters (Å, degrees): 4.1818 4.1818 4.0846 90.00 90.00 90.00
Last column: nearest neighbours and their distance in Å.
Space group P4/mmm (No. 123)
Inequivalent atoms, fractional coordinates:
Sc1 0.0000 0.0000 0.0000 x1  2 O 2.04, 4 F 2.09
Ge1 0.5000 0.5000 0.5000 x1  8 F 2.92, 4 O 2.96
O1 0.0000 0.0000 0.5000 x1  2 Sc 2.04
F1 0.0000 0.5000 0.0000 x2  2 Sc 2.09

Computed properties:
Magnetic moment, Bohr magnetons per cell: 0.000
Theoretical density, kg/m³: 3989

two) # ScGeOF2

A relaxed ScGeOF2 crystal (PBE, Alexandria).

Lattice parameters (Å, degrees): 4.2942 4.2942 4.0872 90.00 90.00 90.00
Last column: nearest neighbours and their distance in Å.
Space group P4/mmm (No. 123)
Inequivalent atoms, fractional coordinates:
Sc1 0.0000 0.0000 0.0000 x1  8 F 2.96, 4 O 3.04
Ge1 0.5000 0.5000 0.5000 x1  2 O 2.04, 4 F 2.15
O1 0.5000 0.5000 0.0000 x1  2 Ge 2.04
F1 0.0000 0.5000 0.5000 x2  2 Ge 2.15

Computed properties:
Magnetic moment, Bohr magnetons per cell: 1.215
Theoretical density, kg/m³: 3781

Most stable to least stable, the ends of the list are one) and two).

one) # TiGeOF2

A relaxed TiGeOF2 crystal (PBE, Alexandria).

Lattice parameters (Å, degrees): 4.1847 4.1847 3.8412 90.00 90.00 90.00
Last column: nearest neighbours and their distance in Å.
Space group P4/mmm (No. 123)
Inequivalent atoms, fractional coordinates:
Ti1 0.0000 0.0000 0.0000 x1  2 O 1.92, 4 F 2.09
Ge1 0.5000 0.5000 0.5000 x1  8 F 2.84, 4 O 2.96
O1 0.0000 0.0000 0.5000 x1  2 Ti 1.92
F1 0.0000 0.5000 0.0000 x2  2 Ti 2.09

Computed properties:
Magnetic moment, Bohr magnetons per cell: 1.057
Theoretical density, kg/m³: 4308

two) # TiGeOF2

A relaxed TiGeOF2 crystal (PBE, Alexandria).

Lattice parameters (Å, degrees): 4.2297 4.2297 4.0541 90.00 90.00 90.00
Last column: nearest neighbours and their distance in Å.
Space group P4/mmm (No. 123)
Inequivalent atoms, fractional coordinates:
Ti1 0.0000 0.0000 0.0000 x1  8 F 2.93, 4 O 2.99
Ge1 0.5000 0.5000 0.5000 x1  2 O 2.03, 4 F 2.11
O1 0.5000 0.5000 0.0000 x1  2 Ge 2.03
F1 0.0000 0.5000 0.5000 x2  2 Ge 2.11

Computed properties:
Magnetic moment, Bohr magnetons per cell: 0.264
Theoretical density, kg/m³: 3995

Most stable to least stable, the ends of the list are one) and two).

one) # TlGeOF2

A relaxed TlGeOF2 crystal (PBE, Alexandria).

Lattice parameters (Å, degrees): 4.5560 4.5560 4.2860 90.00 90.00 90.00
Last column: nearest neighbours and their distance in Å.
Space group P4/mmm (No. 123)
Inequivalent atoms, fractional coordinates:
Tl1 0.0000 0.0000 0.0000 x1  2 O 2.14, 4 F 2.28
Ge1 0.5000 0.5000 0.5000 x1  8 F 3.13, 4 O 3.22
O1 0.0000 0.0000 0.5000 x1  2 Tl 2.14
F1 0.0000 0.5000 0.0000 x2  2 Tl 2.28

Computed properties:
Magnetic moment, Bohr magnetons per cell: 0.449
Theoretical density, kg/m³: 6179

two) # TlGeOF2

A relaxed TlGeOF2 crystal (PBE, Alexandria).

Lattice parameters (Å, degrees): 4.4978 4.4978 3.8151 90.00 90.00 90.00
Last column: nearest neighbours and their distance in Å.
Space group P4/mmm (No. 123)
Inequivalent atoms, fractional coordinates:
Tl1 0.0000 0.0000 0.0000 x1  8 F 2.95, 4 O 3.18
Ge1 0.5000 0.5000 0.5000 x1  2 O 1.91
O1 0.5000 0.5000 0.0000 x1  2 Ge 1.91
F1 0.0000 0.5000 0.5000 x2  2 Ge 2.25

Computed properties:
Magnetic moment, Bohr magnetons per cell: 0.000
Theoretical density, kg/m³: 7122

Most stable to least stable, the ends of the list are two) and one).

one) # YGeOF2

A relaxed YGeOF2 crystal (PBE, Alexandria).

Lattice parameters (Å, degrees): 4.3437 4.3437 4.1554 90.00 90.00 90.00
Last column: nearest neighbours and their distance in Å.
Space group P4/mmm (No. 123)
Inequivalent atoms, fractional coordinates:
Y1 0.0000 0.0000 0.0000 x1  8 F 3.01, 4 O 3.07
Ge1 0.5000 0.5000 0.5000 x1  2 O 2.08, 4 F 2.17
O1 0.5000 0.5000 0.0000 x1  2 Ge 2.08
F1 0.0000 0.5000 0.5000 x2  2 Ge 2.17

Computed properties:
Magnetic moment, Bohr magnetons per cell: 0.872
Theoretical density, kg/m³: 4565

two) # YGeOF2

A relaxed YGeOF2 crystal (PBE, Alexandria).

Lattice parameters (Å, degrees): 4.4037 4.4037 4.4378 90.00 90.00 90.00
Last column: nearest neighbours and their distance in Å.
Space group P4/mmm (No. 123)
Inequivalent atoms, fractional coordinates:
Y1 0.0000 0.0000 0.0000 x1  4 F 2.20, 2 O 2.22
Ge1 0.5000 0.5000 0.5000 x1  4 O 3.11, 8 F 3.13
O1 0.0000 0.0000 0.5000 x1  2 Y 2.22
F1 0.0000 0.5000 0.0000 x2  2 Y 2.20

Computed properties:
Magnetic moment, Bohr magnetons per cell: 0.000
Theoretical density, kg/m³: 4159

Most stable to least stable, the ends of the list are two) and one).

one) # ZnGeOF2

A relaxed ZnGeOF2 crystal (PBE, Alexandria).

Lattice parameters (Å, degrees): 4.2847 4.2847 3.7349 90.00 90.00 90.00
Last column: nearest neighbours and their distance in Å.
Space group P4/mmm (No. 123)
Inequivalent atoms, fractional coordinates:
Zn1 0.0000 0.0000 0.0000 x1  8 F 2.84, 4 O 3.03
Ge1 0.5000 0.5000 0.5000 x1  2 O 1.87
O1 0.5000 0.5000 0.0000 x1  2 Ge 1.87
F1 0.0000 0.5000 0.5000 x2  2 Ge 2.14

Computed properties:
Magnetic moment, Bohr magnetons per cell: 0.586
Theoretical density, kg/m³: 4651

two) # ZnGeOF2

A relaxed ZnGeOF2 crystal (PBE, Alexandria).

Lattice parameters (Å, degrees): 3.9592 3.9592 4.1060 90.00 90.00 90.00
Last column: nearest neighbours and their distance in Å.
Space group P4/mmm (No. 123)
Inequivalent atoms, fractional coordinates:
Zn1 0.0000 0.0000 0.0000 x1  4 F 1.98, 2 O 2.05
Ge1 0.5000 0.5000 0.5000 x1  4 O 2.80, 8 F 2.85
O1 0.0000 0.0000 0.5000 x1  2 Zn 2.05
F1 0.0000 0.5000 0.0000 x2  2 Zn 1.98

Computed properties:
Magnetic moment, Bohr magnetons per cell: 0.000
Theoretical density, kg/m³: 4955

Most stable to least stable, the ends of the list are two) and one).

one) # ZrGeOF2

A relaxed ZrGeOF2 crystal (PBE, Alexandria).

Lattice parameters (Å, degrees): 4.2872 4.2872 4.1357 90.00 90.00 90.00
Last column: nearest neighbours and their distance in Å.
Space group P4/mmm (No. 123)
Inequivalent atoms, fractional coordinates:
Zr1 0.0000 0.0000 0.0000 x1  8 F 2.98, 4 O 3.03
Ge1 0.5000 0.5000 0.5000 x1  2 O 2.07, 4 F 2.14
O1 0.5000 0.5000 0.0000 x1  2 Ge 2.07
F1 0.0000 0.5000 0.5000 x2  2 Ge 2.14

Computed properties:
Magnetic moment, Bohr magnetons per cell: 2.058
Theoretical density, kg/m³: 4759

two) # ZrGeOF2

A relaxed ZrGeOF2 crystal (PBE, Alexandria).

Lattice parameters (Å, degrees): 4.3769 4.3769 4.0970 90.00 90.00 90.00
Last column: nearest neighbours and their distance in Å.
Space group P4/mmm (No. 123)
Inequivalent atoms, fractional coordinates:
Zr1 0.0000 0.0000 0.0000 x1  2 O 2.05, 4 F 2.19
Ge1 0.5000 0.5000 0.5000 x1  8 F 3.00, 4 O 3.09
O1 0.0000 0.0000 0.5000 x1  2 Zr 2.05
F1 0.0000 0.5000 0.0000 x2  2 Zr 2.19

Computed properties:
Magnetic moment, Bohr magnetons per cell: 0.122
Theoretical density, kg/m³: 4609

Most stable to least stable, the ends of the list are two) and one).

one) # Ge2Os2F

A relaxed Ge2Os2F crystal (PBE, Alexandria).

Lattice parameters (Å, degrees): 4.9367 4.9367 7.0341 90.00 90.00 90.00
Last column: nearest neighbours and their distance in Å.
Space group I4/mmm (No. 139)
Inequivalent atoms, fractional coordinates:
Ge1 0.0000 0.5000 0.2500 x4  4 Os 2.55
Os1 0.0000 0.0000 0.1613 x4  1 Os 2.27, 1 F 2.38
F1 0.0000 0.0000 0.5000 x2  2 Os 2.38

Computed properties:
Magnetic moment, Bohr magnetons per cell: 0.000
Theoretical density, kg/m³: 10553

two) # Ge2Os2F

A relaxed Ge2Os2F crystal (PBE, Alexandria).

Lattice parameters (Å, degrees): 7.0324 7.0324 3.0003 90.00 90.00 90.00
Last column: nearest neighbours and their distance in Å.
Space group P4/mbm (No. 127)
Inequivalent atoms, fractional coordinates:
Ge1 0.1483 0.3517 0.0000 x4  6 Os 2.52-2.57
Os1 0.1479 0.6479 0.5000 x4  6 Ge 2.52-2.57, 2 F 2.69
F1 0.0000 0.0000 0.5000 x2  4 Os 2.69, 2 F 3.00

Computed properties:
Magnetic moment, Bohr magnetons per cell: 0.000
Theoretical density, kg/m³: 12193

Most stable to least stable, the ends of the list are two) and one).